Here is an optimized crystal structure of LaNdCuPb from Alexandria. Energies are from PBE.

Summary:
E_form: -317 meV per atom
ρ: 8140 kg/m³
Crystal system: cubic

Lattice parameters (Å, degrees): 7.6744 7.6744 7.6744 90.00 90.00 90.00
Space group F-43m (No. 216)
Inequivalent atoms, fractional coordinates:
La1 0.0000 0.0000 0.0000 [4 per cell]
Nd1 0.0000 0.0000 0.5000 [4 per cell]
Cu1 0.2500 0.2500 0.2500 [4 per cell]
Pb1 0.2500 0.2500 0.7500 [4 per cell]


Here is an optimized crystal structure of LaNdCuPd from Alexandria. Energies are from PBE.

Summary:
E_form: -433 meV per atom
ρ: 7755 kg/m³
Crystal system: cubic

Lattice parameters (Å, degrees): 7.2943 7.2943 7.2943 90.00 90.00 90.00
Space group F-43m (No. 216)
Inequivalent atoms, fractional coordinates:
La1 0.0000 0.0000 0.0000 [4 per cell]
Nd1 0.0000 0.0000 0.5000 [4 per cell]
Cu1 0.2500 0.2500 0.7500 [4 per cell]
Pd1 0.2500 0.2500 0.2500 [4 per cell]


Here is an optimized crystal structure of LaNdCuPd from Alexandria. Energies are from PBE.

Summary:
E_form: -494 meV per atom
ρ: 7510 kg/m³
Crystal system: orthorhombic

Lattice parameters (Å, degrees): 4.6232 3.9381 11.0053 90.00 90.00 90.00
Space group Amm2 (No. 38)
Inequivalent atoms, fractional coordinates:
La1 0.0000 0.0000 0.0000 [2 per cell]
Nd1 0.5000 0.0000 0.7249 [2 per cell]
Cu1 0.0000 0.0000 0.2860 [2 per cell]
Pd1 0.5000 0.0000 0.4370 [2 per cell]


Here is an optimized crystal structure of LaPrNdCu from Alexandria. Energies are from PBE.

Summary:
E_form: -54 meV per atom
ρ: 6720 kg/m³
Crystal system: tetragonal

Lattice parameters (Å, degrees): 3.6734 3.6734 8.9293 90.00 90.00 90.00
Space group P4mm (No. 99)
Inequivalent atoms, fractional coordinates:
La1 0.0000 0.0000 0.0000 [1 per cell]
Pr1 0.5000 0.5000 0.6911 [1 per cell]
Nd1 0.0000 0.0000 0.3908 [1 per cell]
Cu1 0.5000 0.5000 0.2022 [1 per cell]


Here is an optimized crystal structure of LaNdCuPt from Alexandria. Energies are from PBE.

Summary:
E_form: -617 meV per atom
ρ: 9367 kg/m³
Crystal system: cubic

Lattice parameters (Å, degrees): 7.2696 7.2696 7.2696 90.00 90.00 90.00
Space group F-43m (No. 216)
Inequivalent atoms, fractional coordinates:
La1 0.0000 0.0000 0.0000 [4 per cell]
Nd1 0.0000 0.0000 0.5000 [4 per cell]
Cu1 0.2500 0.2500 0.2500 [4 per cell]
Pt1 0.2500 0.2500 0.7500 [4 per cell]


Here is an optimized crystal structure of LaNdCuPt from Alexandria. Energies are from PBE.

Summary:
E_form: -691 meV per atom
ρ: 9047 kg/m³
Crystal system: orthorhombic

Lattice parameters (Å, degrees): 4.5505 3.9685 11.0136 90.00 90.00 90.00
Space group Amm2 (No. 38)
Inequivalent atoms, fractional coordinates:
La1 0.0000 0.0000 0.0000 [2 per cell]
Nd1 0.5000 0.0000 0.2739 [2 per cell]
Cu1 0.0000 0.0000 0.7137 [2 per cell]
Pt1 0.5000 0.0000 0.5595 [2 per cell]


Here is an optimized crystal structure of LaNdCuRu from Alexandria. Energies are from PBE.

Summary:
E_form: -207 meV per atom
ρ: 7829 kg/m³
Crystal system: orthorhombic

Lattice parameters (Å, degrees): 4.2424 4.0538 11.0440 90.00 90.00 90.00
Space group Amm2 (No. 38)
Inequivalent atoms, fractional coordinates:
La1 0.0000 0.0000 0.0000 [2 per cell]
Nd1 0.5000 0.0000 0.7240 [2 per cell]
Cu1 0.0000 0.0000 0.2918 [2 per cell]
Ru1 0.5000 0.0000 0.4392 [2 per cell]


Here is an optimized crystal structure of LaNdCuRu from Alexandria. Energies are from PBE.

Summary:
E_form: -174 meV per atom
ρ: 8152 kg/m³
Crystal system: cubic

Lattice parameters (Å, degrees): 7.1456 7.1456 7.1456 90.00 90.00 90.00
Space group F-43m (No. 216)
Inequivalent atoms, fractional coordinates:
La1 0.0000 0.0000 0.0000 [4 per cell]
Nd1 0.0000 0.0000 0.5000 [4 per cell]
Cu1 0.2500 0.2500 0.7500 [4 per cell]
Ru1 0.2500 0.2500 0.2500 [4 per cell]


Here is an optimized crystal structure of LaNdCu2S4 from Alexandria. Energies are from PBE.

Summary:
ρ: 5243 kg/m³
Crystal system: orthorhombic

Lattice parameters (Å, degrees): 6.6456 6.7545 7.5994 90.00 90.00 90.00
Space group I222 (No. 23)
Inequivalent atoms, fractional coordinates:
La1 0.0000 0.0000 0.0000 [2 per cell]
Nd1 0.0000 0.0000 0.5000 [2 per cell]
Cu1 0.0000 0.5000 0.1754 [4 per cell]
S1 0.2387 0.2749 0.7859 [8 per cell]


Here is an optimized crystal structure of LaNd2CuS5 from Alexandria. Energies are from PBE.

Summary:
ρ: 5237 kg/m³
Crystal system: orthorhombic

Lattice parameters (Å, degrees): 3.9548 18.3119 11.4057 90.00 90.00 90.00
Space group Cmc2_1 (No. 36)
Inequivalent atoms, fractional coordinates:
La1 0.0000 0.1980 0.0000 [4 per cell]
Nd1 0.0000 0.0947 0.6747 [4 per cell]
Nd2 0.0000 0.1111 0.3022 [4 per cell]
Cu1 0.0000 0.4393 0.4434 [4 per cell]
S1 0.0000 0.0466 0.0499 [4 per cell]
S2 0.0000 0.2991 0.6825 [4 per cell]
S3 0.0000 0.3301 0.3271 [4 per cell]
S4 0.0000 0.3604 0.9953 [4 per cell]
S5 0.0000 0.4970 0.7707 [4 per cell]


Here is an optimized crystal structure of LaNdCuSb from Alexandria. Energies are from PBE.

Summary:
ρ: 7184 kg/m³
Crystal system: cubic

Lattice parameters (Å, degrees): 7.5660 7.5660 7.5660 90.00 90.00 90.00
Space group F-43m (No. 216)
Inequivalent atoms, fractional coordinates:
La1 0.0000 0.0000 0.0000 [4 per cell]
Nd1 0.0000 0.0000 0.5000 [4 per cell]
Cu1 0.2500 0.2500 0.7500 [4 per cell]
Sb1 0.2500 0.2500 0.2500 [4 per cell]


Here is an optimized crystal structure of LaNdCuSe4 from Alexandria. Energies are from PBE.

Summary:
ρ: 6393 kg/m³
Crystal system: monoclinic

Lattice parameters (Å, degrees): 7.1885 5.9412 8.4343 90.00 107.16 90.00
Space group P2_1/m (No. 11)
Inequivalent atoms, fractional coordinates:
La1 0.2377 0.2500 0.4353 [2 per cell]
Nd1 0.2326 0.2500 0.9311 [2 per cell]
Cu1 0.2396 0.7500 0.6871 [2 per cell]
Se1 0.0726 0.7500 0.8956 [2 per cell]
Se2 0.0787 0.7500 0.3935 [2 per cell]
Se3 0.4884 0.5090 0.2391 [4 per cell]


Here is an optimized crystal structure of La2NdCu2Si2 from Alexandria. Energies are from PBE.

Summary:
ρ: 6565 kg/m³
Crystal system: trigonal

Lattice parameters (Å, degrees): 4.2491 4.2491 29.3778 90.00 90.00 120.00
Space group R-3m (No. 166, hexagonal axes)
Inequivalent atoms, fractional coordinates:
La1 0.0000 0.0000 0.1321 [6 per cell]
Nd1 0.0000 0.0000 0.0000 [3 per cell]
Cu1 0.0000 0.0000 0.4019 [6 per cell]
Si1 0.0000 0.0000 0.2647 [6 per cell]


In order of appearance, VASP energy = -0.172; -0.190; -0.193; -0.173; -0.205; -0.208; -0.220; -0.218; -0.205; -0.224; -0.184; -0.199; -0.194 hartree per atom.